Record 1
A plane-wave DFT calculation with PBE was carried out for crystalline BaReS3 at its relaxed geometry.

```
BaReS3
1.0
-5.625 -0.485 -1.394
0.564 -5.782 -0.262
-1.364 -0.389 5.640
Re Ba S
1 1 3
Direct
0.500 0.500 0.500
0.000 0.000 0.000
0.000 0.500 0.000
0.500 0.000 0.000
0.000 0.000 0.500
```

Values from the calculation:
The calculation puts the spin magnetization at 3.0 Bohr magnetons per cell. The formation energy (no corrections) comes out at 1533.4 meV/atom. Its space group is Pm-3m. The relative energy among the computed polymorphs is 2.395 eV/atom.


Record 2
A plane-wave DFT calculation with PBE was carried out for crystalline Ba2ReS at its relaxed geometry.

```
Ba2ReS
1.0
-0.550 4.313 7.129
5.044 -5.515 3.725
5.622 1.715 4.286
Ba Re S
4 2 2
Direct
0.145 0.625 0.250
0.605 0.125 0.250
0.875 0.855 0.750
0.375 0.395 0.750
0.000 0.000 0.000
0.750 0.250 0.500
0.250 0.750 0.500
0.500 0.500 0.000
```

Values from the calculation:
The calculation puts the spin magnetization at 6.0 Bohr magnetons per cell. The formation energy (no corrections) comes out at 390.5 meV/atom. Its space group is I-42d.


Record 3
A plane-wave DFT calculation with PBE was carried out for crystalline BaRe3S at its relaxed geometry.

```
BaRe3S
1.0
-3.808 -0.909 3.371
3.426 -0.011 3.867
-0.673 5.086 0.611
Re S Ba
3 1 1
Direct
0.000 0.500 0.000
0.000 0.000 0.500
0.500 0.000 0.000
0.500 0.500 0.500
0.000 0.000 0.000
```

Values from the calculation:
The calculation puts the spin magnetization at 8.0 Bohr magnetons per cell. The formation energy (no corrections) comes out at 4236.8 meV/atom. Its space group is Pm-3m. The relative energy among the computed polymorphs is 3.030 eV/atom.